Entry 1:
Material: Li6Cu2Rh
Method: DFT, GGA-PBE
State: optimized geometry

## Properties
ΔE to the lowest computed polymorph = 0.0 kJ per mole of atoms
space group = C2/m
DFT total energy = -27.6 eV for the cell shown

a = 4.300 Å, b = 5.012 Å, c = 6.870 Å
α = 112.66°, β = 108.23°, γ = 90.00°
Fractional positions:
Li 0.289 0.176 0.577
Li 0.598 0.146 0.197
Li 0.855 0.528 0.711
Li 0.402 0.854 0.803
Li 0.711 0.824 0.423
Li 0.145 0.472 0.289
Cu 0.943 0.167 0.885
Cu 0.057 0.833 0.115
Rh 0.500 0.500 0.000

Entry 2:
Material: CsK2Ru
Method: DFT, GGA-PBE
State: optimized geometry

## Properties
space group = I-42d
DFT total energy = -14.9 eV for the cell shown

a = 9.268 Å, b = 9.268 Å, c = 9.881 Å
α = 62.03°, β = 62.03°, γ = 90.00°
Last column: magnetic moment on the atom in μB.
Fractional positions:
K 0.375 0.619 0.750  0.01
K 0.369 0.625 0.250  0.01
K 0.381 0.125 0.250  0.01
K 0.875 0.631 0.750  0.01
Ru 0.250 0.750 0.500  1.80
Ru 0.500 0.500 0.000  1.80
Cs 0.750 0.250 0.500  0.00
Cs 0.000 0.000 0.000  0.00